Density functional theory data (PBE) for an optimized crystal structure of Sr2HoTmSe4.

Unit cell a=4.1837 b=7.2343 c=7.4252 alpha=109.01 beta=90.00 gamma=90.00
With the nearest neighbours (Å) after each atom.
Positions (direct):
Sr 0.5000 0.0000 0.5000  6 Se 3.07
Sr 0.0000 0.5000 0.5000  6 Se 3.09
Ho 0.5000 0.5000 0.0000  6 Se 2.90
Tm 0.0000 0.0000 0.0000  6 Se 2.88-2.89
Se 0.5000 0.2405 0.2265  2 Tm 2.89, 1 Ho 2.90, 3 Sr 3.07-3.09
Se 0.5000 0.7595 0.7735  2 Tm 2.89, 1 Ho 2.90, 3 Sr 3.07-3.09
Se 0.0000 0.2554 0.7723  1 Tm 2.88, 2 Ho 2.90, 3 Sr 3.07-3.09
Se 0.0000 0.7446 0.2277  1 Tm 2.88, 2 Ho 2.90, 3 Sr 3.07-3.09

Computed properties:
E_tot: -41.2 eV/cell
uncorrected formation energy: -1.85 eV per atom
space-group type: No. 10

Density functional theory data (PBE) for an optimized crystal structure of SrHo2TmSe4.

Unit cell a=4.1048 b=7.1611 c=7.1564 alpha=70.95 beta=90.00 gamma=90.00
With the nearest neighbours (Å) after each atom.
Positions (direct):
Sr 0.5000 0.5000 0.0000  6 Se 2.98-2.99
Ho 0.0000 0.0000 0.0000  6 Se 2.93-2.94
Ho 0.5000 0.0000 0.5000  6 Se 2.85
Tm 0.0000 0.5000 0.5000  6 Se 2.90-2.91
Se 0.0000 0.7611 0.7361  3 Ho 2.85-2.93, 1 Tm 2.90, 2 Sr 2.99
Se 0.0000 0.2389 0.2639  3 Ho 2.85-2.93, 1 Tm 2.90, 2 Sr 2.99
Se 0.5000 0.7531 0.2584  3 Ho 2.85-2.94, 2 Tm 2.91, 1 Sr 2.98
Se 0.5000 0.2469 0.7416  3 Ho 2.85-2.94, 2 Tm 2.91, 1 Sr 2.98

Computed properties:
E_tot: -43.3 eV/cell
uncorrected formation energy: -1.75 eV per atom
space-group type: No. 10

Density functional theory data (PBE) for an optimized crystal structure of Sr2HoUSe6.

Unit cell a=7.1960 b=7.7775 c=10.5587 alpha=90.00 beta=89.84 gamma=90.00
With the nearest neighbours (Å) after each atom.
Positions (direct):
Sr 0.0318 0.9110 0.2511  6 Se 3.13-3.33
Sr 0.5318 0.5890 0.7511  6 Se 3.13-3.33
Sr 0.9682 0.0890 0.7489  6 Se 3.13-3.33
Sr 0.4682 0.4110 0.2489  6 Se 3.13-3.33
Ho 0.5000 0.0000 0.0000  6 Se 2.82-2.85
Ho 0.0000 0.5000 0.5000  6 Se 2.82-2.85
U 0.5000 0.0000 0.5000  6 Se 2.74-2.77
U 0.0000 0.5000 0.0000  6 Se 2.74-2.77
Se 0.3102 0.6886 0.0590  1 U 2.74, 1 Ho 2.85
Se 0.8102 0.8114 0.5590  1 U 2.74, 1 Ho 2.85
Se 0.6898 0.3114 0.9410  1 U 2.74, 1 Ho 2.85
Se 0.1898 0.1886 0.4410  1 U 2.74, 1 Ho 2.85
Se 0.3197 0.6963 0.4390  1 U 2.77, 1 Ho 2.83
Se 0.8197 0.8037 0.9390  1 U 2.77, 1 Ho 2.83
Se 0.6803 0.3037 0.5610  1 U 2.77, 1 Ho 2.83
Se 0.1803 0.1963 0.0610  1 U 2.77, 1 Ho 2.83
Se 0.8830 0.5323 0.2464  1 U 2.74, 1 Ho 2.82
Se 0.3830 0.9677 0.7464  1 U 2.74, 1 Ho 2.82
Se 0.1170 0.4677 0.7536  1 U 2.74, 1 Ho 2.82
Se 0.6170 0.0323 0.2536  1 U 2.74, 1 Ho 2.82

Computed properties:
E_tot: -113.6 eV/cell
uncorrected formation energy: -1.67 eV per atom
space-group type: No. 14

> Look up the uncorrected formation energy of the second one.

-1.75 eV per atom

> What is the formula in the second record?

SrHo2TmSe4

> What is the uncorrected formation energy in the third record?

-1.67 eV per atom

> E_tot of number 1 (Sr2HoTmSe4)?

-41.2 eV/cell